(1)
Entry from Alexandria: a geometry-optimized Nd3Tl2BRh3 structure (PBE).

Lattice parameters (Å, degrees): 3.6935 7.8322 7.8322 120.00 90.00 90.00
Last column: nearest neighbours and their distance in Å.
Positions (direct):
Rh1 0.5000 0.7985 0.0000  2 B 2.43
Rh2 0.5000 0.0000 0.7985  2 B 2.43
Rh3 0.5000 0.2015 0.2015  2 B 2.43
Tl1 0.5000 0.3333 0.6667  6 Nd 3.15, 3 Rh 3.25
Tl2 0.5000 0.6667 0.3333  6 Nd 3.15, 3 Rh 3.25
B1 0.0000 0.0000 0.0000  6 Rh 2.43
Nd1 0.0000 0.0000 0.3479  1 B 2.72, 4 Rh 3.00
Nd2 0.0000 0.6521 0.6521  1 B 2.72, 4 Rh 3.00
Nd3 0.0000 0.3479 0.0000  1 B 2.72, 4 Rh 3.00

DFT formation energy = -34.9 kJ per mole of atoms
magnetization = 0.000 μB/cell

(2)
Entry from Alexandria: a geometry-optimized CaDyTlCl6 structure (PBE).

Lattice parameters (Å, degrees): 7.1198 7.1198 13.8139 90.00 90.00 120.00
Last column: nearest neighbours and their distance in Å.
Positions (direct):
Tl1 0.0000 0.0000 0.0000  6 Cl 3.29
Tl2 0.0000 0.0000 0.5000  6 Cl 3.29
Cl1 0.3674 0.3780 0.8594  1 Dy 2.66, 1 Ca 2.76
Cl2 0.6326 0.6220 0.1406  1 Dy 2.66, 1 Ca 2.76
Cl3 0.3674 0.9894 0.6406  1 Dy 2.66, 1 Ca 2.76
Cl4 0.6220 0.9894 0.8594  1 Dy 2.66, 1 Ca 2.76
Cl5 0.0106 0.6326 0.8594  1 Dy 2.66, 1 Ca 2.76
Cl6 0.0106 0.3780 0.6406  1 Dy 2.66, 1 Ca 2.76
Cl7 0.3780 0.0106 0.1406  1 Dy 2.66, 1 Ca 2.76
Cl8 0.6326 0.0106 0.3594  1 Dy 2.66, 1 Ca 2.76
Cl9 0.6220 0.6326 0.6406  1 Dy 2.66, 1 Ca 2.76
Cl10 0.9894 0.3674 0.1406  1 Dy 2.66, 1 Ca 2.76
Cl11 0.3780 0.3674 0.3594  1 Dy 2.66, 1 Ca 2.76
Cl12 0.9894 0.6220 0.3594  1 Dy 2.66, 1 Ca 2.76
Ca1 0.3333 0.6667 0.2500  6 Cl 2.76
Ca2 0.6667 0.3333 0.7500  6 Cl 2.76
Dy1 0.6667 0.3333 0.2500  6 Cl 2.66
Dy2 0.3333 0.6667 0.7500  6 Cl 2.66

E_form (uncorrected) = -2072 meV/atom
magnetization = 0.000 μB/cell

(3)
Entry from Alexandria: a geometry-optimized LuNi4Au structure (PBE).

Lattice parameters (Å, degrees): 4.8936 4.8936 4.8936 60.00 60.00 60.00
Last column: nearest neighbours and their distance in Å.
Positions (direct):
Au1 0.2500 0.2500 0.2500  12 Ni 2.87, 4 Lu 3.00
Ni1 0.6246 0.1261 0.6246  6 Ni 2.44-2.45
Ni2 0.6246 0.6246 0.6246  6 Ni 2.44-2.45
Ni3 0.6246 0.6246 0.1261  6 Ni 2.44-2.45
Ni4 0.1261 0.6246 0.6246  6 Ni 2.44-2.45
Lu1 0.0000 0.0000 0.0000  12 Ni 2.87, 4 Au 3.00

DFT formation energy = -40.0 kJ per mole of atoms
magnetization = 0.384 μB/cell